Record 1
A relaxed structure of Hg2Ir7. Source: OQMD, functional PBE.

* energy relative to the elements: 0.204 eV/atom
* electronic total energy: -6.750 eV/atom

```
Hg2Ir7
1.0
-0.879 0.867 -2.482
-1.801 -0.280 2.088
5.535 31.304 8.973
Hg Ir
2 7
Direct
0.333 0.667 0.220 Hg
0.667 0.333 0.780 Hg
0.000 0.000 0.300 Ir
0.667 0.333 0.366 Ir
0.333 0.667 0.433 Ir
0.000 0.000 0.500 Ir
0.667 0.333 0.567 Ir
0.333 0.667 0.634 Ir
0.000 0.000 0.700 Ir
```

Record 2
A relaxed structure of HgIr9. Source: OQMD, functional PBE.

* energy relative to the elements: 0.111 eV/atom
* electronic total energy: -7.888 eV/atom

```
HgIr9
1.0
-2.084 -0.567 1.698
-0.548 -3.373 -1.799
26.022 -18.047 25.917
Hg Ir
2 18
Direct
0.000 0.000 0.174 Hg
0.500 0.500 0.826 Hg
0.500 0.500 0.217 Ir
0.000 0.000 0.249 Ir
0.500 0.500 0.283 Ir
0.000 0.000 0.317 Ir
0.500 0.500 0.349 Ir
0.000 0.000 0.383 Ir
0.500 0.500 0.416 Ir
0.000 0.000 0.450 Ir
0.500 0.500 0.483 Ir
0.000 0.000 0.517 Ir
0.500 0.500 0.550 Ir
0.000 0.000 0.584 Ir
0.500 0.500 0.617 Ir
0.000 0.000 0.651 Ir
0.500 0.500 0.683 Ir
0.000 0.000 0.717 Ir
0.500 0.500 0.751 Ir
0.000 0.000 0.783 Ir
```

Which of these has the highest energy relative to the elements?
Hg2Ir7

The highest electronic total energy belongs to which entry?
Hg2Ir7

What is the energy relative to the elements in the first record?
0.204 eV/atom